Material: K2Tl7Pb
Method: DFT, PBE-GGA
State: optimized geometry

Cell: 5.168 5.168 13.430 Å, 90.00 90.00 90.00°
Space group P-4m2 (No. 115)
One atom of each set of equivalent atoms:
K1 0.000 0.500 0.248 (multiplicity 2)
Tl1 0.000 0.000 0.000 (multiplicity 1)
Tl2 0.000 0.000 0.500 (multiplicity 1)
Tl3 0.000 0.500 0.637 (multiplicity 2)
Tl4 0.000 0.500 0.860 (multiplicity 2)
Tl5 0.500 0.500 0.500 (multiplicity 1)
Pb1 0.500 0.500 0.000 (multiplicity 1)

Computed properties:
Calculated volume   359 Å³/cell
Distance to the lowest polymorph of the same formula   0 meV per atom
Energy   -2.299 eV/atom
Energy relative to the elements   -0.05 eV per atom

***

Material: Li2Pm3Si4
Method: DFT, PBE-GGA
State: optimized geometry

Cell: 10.816 4.232 8.340 Å, 90.00 104.41 90.00°
Space group C2/m (No. 12)
One atom of each set of equivalent atoms:
Li1 0.128 0.000 0.296 (multiplicity 4)
Pm1 0.000 0.500 0.000 (multiplicity 2)
Pm2 0.157 0.000 0.673 (multiplicity 4)
Si1 0.061 0.500 0.397 (multiplicity 4)
Si2 0.217 0.000 0.051 (multiplicity 4)

Computed properties:
Raw formation energy   -620 meV per atom
Calculated volume   370 Å³/cell
Energy   -5.039 eV/atom

***

Material: K2DyZn2S4
Method: DFT, PBE-GGA
State: optimized geometry

Cell: 15.682 3.877 7.883 Å, 90.00 113.59 90.00°
Space group C2/m (No. 12)
One atom of each set of equivalent atoms:
K1 0.127 0.000 0.059 (multiplicity 4)
Dy1 0.000 0.000 0.500 (multiplicity 2)
Zn1 0.185 0.500 0.524 (multiplicity 4)
S1 0.033 0.500 0.284 (multiplicity 4)
S2 0.189 0.000 0.713 (multiplicity 4)

Computed properties:
Raw formation energy   -1164 meV per atom
Calculated volume   439 Å³/cell
Energy   -4.037 eV/atom